# 1
# BaLiAu

A relaxed structure of BaLiAu (PBE, Alexandria).

Lattice parameters (Å, degrees): 4.3184 4.3880 10.4179 90.00 101.96 90.00
Last column: nearest neighbours and their distance in Å.
Atoms (fractional coordinates):
Ba1 0.1005 0.7500 0.2010  4 Au 3.38, 4 Li 3.73-3.75
Ba2 0.8995 0.2500 0.7990  4 Au 3.38, 4 Li 3.73-3.75
Li1 0.7500 0.7500 0.5000  4 Au 2.72-2.75
Li2 0.2500 0.2500 0.5000  4 Au 2.72-2.75
Au1 0.3310 0.7500 0.6620  4 Li 2.72-2.75
Au2 0.6690 0.2500 0.3380  4 Li 2.72-2.75

Summary:
Final energy: -2.8585 eV per atom
ρ: 5.9 g/cm³
Energy of formation: -0.487 eV per atom

=====

# 2
# BaLi2Au

A relaxed structure of BaLi2Au (PBE, Alexandria).

Lattice parameters (Å, degrees): 6.2349 6.2349 6.2349 144.35 127.91 64.72
Last column: nearest neighbours and their distance in Å.
Atoms (fractional coordinates):
Li1 0.9439 0.9439 0.0000  2 Au 2.80
Li2 0.5561 0.5561 0.0000  2 Au 2.80
Ba1 0.2500 0.7500 0.5000  4 Au 3.34, 4 Li 3.42
Au1 0.7500 0.2500 0.5000  4 Li 2.80

Summary:
Final energy: -2.5497 eV per atom
ρ: 5.3 g/cm³
Energy of formation: -0.293 eV per atom

=====

# 3
# BaLiAu2

A relaxed structure of BaLiAu2 (PBE, Alexandria).

Lattice parameters (Å, degrees): 5.3627 5.3627 9.2408 73.13 73.13 90.00
Last column: nearest neighbours and their distance in Å.
Atoms (fractional coordinates):
Au1 0.3746 0.1250 0.2500  2 Li 2.50, 2 Au 2.68
Au2 0.8750 0.6246 0.7500  2 Li 2.50, 2 Au 2.68
Au3 0.3750 0.6254 0.7500  2 Li 2.50, 2 Au 2.68
Au4 0.3754 0.6250 0.2500  2 Li 2.50, 2 Au 2.68
Li1 0.5000 0.5000 0.0000  4 Au 2.50
Li2 0.2500 0.7500 0.5000  4 Au 2.50
Ba1 0.0000 0.0000 0.0000  8 Au 3.66-3.67, 4 Li 3.79
Ba2 0.7500 0.2500 0.5000  8 Au 3.66-3.67, 4 Li 3.79

Summary:
Final energy: -3.0875 eV per atom
ρ: 7.4 g/cm³
Energy of formation: -0.490 eV per atom

=====

# 4
# BaLi3Au

A relaxed structure of BaLi3Au (PBE, Alexandria).

Lattice parameters (Å, degrees): 4.3973 7.7193 8.0823 75.64 90.00 90.00
Last column: nearest neighbours and their distance in Å.
Atoms (fractional coordinates):
Au1 0.3810 0.8150 0.6585  7 Li 2.63-2.80
Au2 0.8810 0.8597 0.1479  7 Li 2.63-2.80
Li1 0.8810 0.7136 0.8638  3 Au 2.75-2.80, 1 Li 2.94
Li2 0.3810 0.9620 0.9424  3 Au 2.75-2.80, 1 Li 2.94
Li3 0.8810 0.2106 0.0403  1 Au 2.63
Li4 0.8810 0.7094 0.5010  3 Au 2.76-2.80, 1 Li 2.94
Li5 0.3810 0.4637 0.7658  1 Au 2.63
Li6 0.3810 0.9651 0.3052  3 Au 2.76-2.80, 1 Li 2.94
Ba1 0.8810 0.1481 0.5912  2 Au 3.32, 6 Li 3.53-3.71
Ba2 0.3810 0.5268 0.2143  2 Au 3.32, 6 Li 3.53-3.72

Summary:
Final energy: -2.4813 eV per atom
ρ: 4.4 g/cm³
Energy of formation: -0.293 eV per atom

=====

# 5
# Ba5LiAu4

A relaxed structure of Ba5LiAu4 (PBE, Alexandria).

Lattice parameters (Å, degrees): 4.7970 8.2193 10.3459 75.44 103.40 90.00
Last column: nearest neighbours and their distance in Å.
Atoms (fractional coordinates):
Au1 0.0186 0.8156 0.0373  2 Li 2.81, 1 Au 2.93
Au2 0.6930 0.2783 0.3860  6 Ba 3.25-3.54
Au3 0.3070 0.7217 0.6140  6 Ba 3.25-3.54
Au4 0.9814 0.1844 0.9627  2 Li 2.81, 1 Au 2.93
Ba1 0.8323 0.4459 0.6646  4 Au 3.21-3.43
Ba2 0.1514 0.0449 0.3028  5 Au 3.31-3.65
Ba3 0.8486 0.9551 0.6972  5 Au 3.31-3.65
Ba4 0.5000 0.5000 0.0000  6 Au 3.62-3.84
Ba5 0.1677 0.5541 0.3354  4 Au 3.21-3.43
Li1 0.5000 0.0000 0.0000  4 Au 2.81

Summary:
Final energy: -3.0090 eV per atom
ρ: 6.4 g/cm³
Energy of formation: -0.545 eV per atom

=====

# 6
# Ba2Li2Au

A relaxed structure of Ba2Li2Au (PBE, Alexandria).

Lattice parameters (Å, degrees): 4.0836 4.0836 10.6909 78.99 78.99 90.00
Last column: nearest neighbours and their distance in Å.
Atoms (fractional coordinates):
Li1 0.2500 0.7500 0.5000  4 Li 2.89
Li2 0.7500 0.2500 0.5000  4 Li 2.89
Ba1 0.4072 0.4072 0.1856  4 Au 3.46, 1 Ba 3.82, 4 Li 3.83
Ba2 0.5928 0.5928 0.8144  4 Au 3.46, 1 Ba 3.82, 4 Li 3.83
Au1 0.0000 0.0000 0.0000  8 Ba 3.46

Summary:
Final energy: -2.4314 eV per atom
ρ: 4.7 g/cm³
Energy of formation: -0.241 eV per atom